## Mn3Ni2Te3O16 (PBE+U)

Data for crystalline Mn3Ni2Te3O16 at its relaxed geometry.

Computed properties:
* total DFT energy (no corrections): -141.212 eV for the cell shown
* symmetry: Cm

Cell and atoms, written as CIF:
```
data_Mn3Ni2Te3O16
_cell_length_a 6.138
_cell_length_b 6.138
_cell_length_c 9.168
_cell_angle_alpha 88.55
_cell_angle_beta 88.55
_cell_angle_gamma 58.91
_symmetry_space_group_name_H-M 'P 1'
_symmetry_Int_Tables_number 1
loop_
_symmetry_equiv_pos_as_xyz
'x,y,z'
loop_
_atom_site_label
_atom_site_fract_x
_atom_site_fract_y
_atom_site_fract_z
O1 0.845 0.323 0.396
O2 0.505 0.959 0.670
O3 0.324 0.324 0.403
Mn1 0.167 0.665 0.291
Ni1 0.674 0.674 0.494
Ni2 0.349 0.349 0.021
O4 0.323 0.845 0.396
O5 0.518 0.518 0.660
Mn2 0.665 0.167 0.291
O6 0.645 0.645 0.910
O7 0.156 0.156 0.900
O8 0.478 0.478 0.180
Te1 0.830 0.333 0.786
Te2 0.168 0.168 0.288
O9 0.959 0.505 0.670
O10 0.844 0.844 0.394
O11 0.679 0.172 0.892
O12 0.008 0.008 0.181
O13 0.172 0.679 0.892
O14 0.480 0.044 0.167
O15 0.015 0.015 0.669
Te3 0.333 0.830 0.786
Mn3 0.831 0.831 0.786
O16 0.044 0.480 0.167
```